[1]
A relaxed Dy3PtO6 crystal, computed with PBE.

Cell and atoms, written as extended XYZ:
```
20
Lattice="4.520 -5.523 0.000 4.520 5.523 0.000 0.000 0.000 5.533" Properties=species:S:1:pos:R:3 pbc="T T T"
Dy 4.520 4.389 2.766
Dy 2.606 1.310 3.051
Dy 2.606 -1.310 0.285
Dy 6.435 1.310 3.051
Dy 6.435 -1.310 0.285
Dy 4.520 -4.389 0.000
Pt 4.520 1.452 0.305
Pt 4.520 -1.452 3.072
O 3.201 2.815 1.433
O 1.425 0.172 1.540
O 1.425 -0.172 4.306
O 4.520 2.414 4.072
O 5.840 2.815 1.433
O 4.520 0.305 2.063
O 4.520 -0.305 4.830
O 3.201 -2.815 4.200
O 4.520 -2.414 1.306
O 7.616 0.172 1.540
O 7.616 -0.172 4.306
O 5.840 -2.815 4.200
```

Output
The formation energy (no corrections) comes out at -26.9 eV per formula unit. The calculation puts the energy at -7.646 eV per atom. The space group is Cmc2_1, No. 36. As for the magnetization: 2.0 Bohr magnetons per cell.

---

[2]
A relaxed CaTiSi3 crystal, computed with PBE.

Cell and atoms, written as extended XYZ:
```
5
Lattice="4.776 0.000 0.000 0.000 4.776 0.000 0.000 0.000 4.776" Properties=species:S:1:pos:R:3 pbc="T T T"
Ca 0.000 0.000 0.000
Ti 2.388 2.388 2.388
Si 0.000 2.388 2.388
Si 2.388 0.000 2.388
Si 2.388 2.388 0.000
```

Output
The formation energy (no corrections) comes out at 0.0 eV per formula unit. The calculation puts the energy at -5.237 eV per atom. The space group is Pm-3m, No. 221. As for the magnetization: 0.0 Bohr magnetons per cell.

---

[3]
A relaxed PbSO4 crystal, computed with PBE.

Cell and atoms, written as extended XYZ:
```
24
Lattice="14.340 0.000 0.000 0.000 5.298 0.000 0.000 0.000 4.816" Properties=species:S:1:pos:R:3 pbc="T T T"
Pb 1.445 1.325 0.973
Pb 5.725 3.974 3.381
Pb 8.615 1.325 1.435
Pb 12.895 3.974 3.843
S 1.929 3.974 3.217
S 5.241 1.325 0.809
S 9.099 3.974 4.007
S 12.411 1.325 1.599
O 1.171 2.753 3.684
O 1.171 5.194 3.684
O 1.919 3.974 1.730
O 3.294 3.974 3.773
O 3.876 1.325 1.365
O 5.251 1.325 4.138
O 5.999 0.104 1.276
O 5.999 2.545 1.276
O 8.341 2.753 3.540
O 8.341 5.194 3.540
O 9.089 3.974 0.678
O 10.464 3.974 3.451
O 11.046 1.325 1.043
O 12.421 1.325 3.086
O 13.168 0.104 1.132
O 13.168 2.545 1.132
```

Output
The formation energy (no corrections) comes out at -8.6 eV per formula unit. The calculation puts the energy at -6.046 eV per atom. Its energy above the most stable polymorph in this dataset is 0.011 eV/atom. The space group is Pnma, No. 62. As for the magnetization: 0.0 Bohr magnetons per cell.

---

[4]
A relaxed SmPa2B crystal, computed with PBE.

Cell and atoms, written as extended XYZ:
```
4
Lattice="1.718 0.992 9.455 -1.718 0.992 9.455 0.000 -1.983 9.455" Properties=species:S:1:pos:R:3 pbc="T T T"
Sm 0.000 0.000 0.000
Pa 0.000 0.000 3.233
Pa 0.000 0.000 25.133
B 0.000 0.000 14.183
```

Output
The calculation puts the energy at -7.423 eV per atom. The space group is R-3m, No. 166. As for the energy of formation from the pure elements: 0.697 eV/f.u. As for the magnetization: 0.0 Bohr magnetons per cell.